[1]
Below is an optimized crystal structure of CuNi4Ir, with properties calculated at the PBE level.

Computed properties:
- total magnetic moment (μB/atom) = 0.338
- offset from the most stable computed form (eV/f.u.) = 0.11
- density (g/cm3) = 11.59
- E_tot (eV per atom) = -5.971

Geometry as POSCAR:
```
CuNi4Ir
1.0
-2.127 2.487 -1.492
2.938 -1.766 -2.799
-8.590 -6.248 1.828
Cu Ni Ir
2 8 2
Cartesian
-6.974 -4.064 0.998
-0.805 -1.463 -3.460
-5.679 -6.085 0.118
-2.100 0.558 -2.580
-6.596 -1.776 -0.063
-2.448 -1.718 -1.542
-6.542 -5.632 -2.231
-1.184 -3.751 -2.399
-5.331 -3.810 -0.920
-1.237 0.104 -0.231
0.405 0.360 -2.145
-2.826 -4.007 -0.485
```



[2]
Below is an optimized crystal structure of CuNi6Ir, with properties calculated at the PBE level.

Computed properties:
- total magnetic moment (μB/atom) = 0.358
- offset from the most stable computed form (eV/f.u.) = 0.01
- density (g/cm3) = 10.99
- E_tot (eV per atom) = -5.930

Geometry as POSCAR:
```
CuNi6Ir
1.0
-1.978 0.388 -2.978
2.284 -2.121 -1.793
-3.852 -5.685 1.817
Ni Cu Ir
6 1 1
Cartesian
-1.761 -5.345 0.473
0.153 -0.866 -2.386
-3.892 -4.091 -0.119
0.193 -2.460 -0.449
-1.937 -1.206 -1.041
-1.773 -3.709 -1.477
0.000 0.000 0.000
-1.926 -2.842 0.909
```



[3]
Below is an optimized crystal structure of CuNiIr2, with properties calculated at the PBE level.

Computed properties:
- total magnetic moment (μB/atom) = 0.045
- offset from the most stable computed form (eV/f.u.) = 0.80
- density (g/cm3) = 15.47
- E_tot (eV per atom) = -6.648

Geometry as POSCAR:
```
CuNiIr2
1.0
-0.136 -2.275 -1.384
2.058 1.655 -0.371
4.475 -4.138 6.364
Ni Cu Ir
1 1 2
Cartesian
2.262 -2.091 3.216
4.270 -3.370 3.829
4.453 -4.117 6.332
2.125 -1.387 0.778
```



[4]
Below is an optimized crystal structure of CuNi4Ir, with properties calculated at the PBE level.

Computed properties:
- total magnetic moment (μB/atom) = 0.570
- offset from the most stable computed form (eV/f.u.) = 0.89
- density (g/cm3) = 11.37
- E_tot (eV per atom) = -5.840

Geometry as POSCAR:
```
CuNi4Ir
1.0
1.667 -3.531 -2.546
-2.923 -3.133 -1.836
-0.721 -0.097 -4.604
Ni Ir Cu
4 1 1
Cartesian
-1.102 -2.585 -5.671
-2.202 -4.101 -4.288
0.091 -4.300 -4.643
-0.742 -2.536 -3.371
0.000 0.000 0.000
-1.483 -5.070 -6.740
```